No. 1
VASP calculation (GGA-PBE) on a relaxed LuAl2V crystal.

E above lowest polymorph ... 0 meV/atom
Calculated volume ... 18.00 Å³/atom

Cell lengths 3.350, 3.350, 6.417 Å; angles 90.00, 90.00, 90.00 degrees
Space group P4/mmm (No. 123)
Unique sites:
Lu (0.000, 0.000, 0.000) (multiplicity 1)
Al (0.500, 0.500, 0.300) (multiplicity 2)
V (0.000, 0.000, 0.500) (multiplicity 1)



No. 2
VASP calculation (GGA-PBE) on a relaxed Lu2AlV crystal.

E above lowest polymorph ... 0 meV/atom
Calculated volume ... 21.82 Å³/atom

Cell lengths 7.041, 7.041, 7.041 Å; angles 90.00, 90.00, 90.00 degrees
Space group Fm-3m (No. 225)
Unique sites:
Lu (0.250, 0.250, 0.250) (multiplicity 8)
Al (0.000, 0.000, 0.000) (multiplicity 4)
V (0.000, 0.000, 0.500) (multiplicity 4)



No. 3
VASP calculation (GGA-PBE) on a relaxed Lu2AlV crystal.

E above lowest polymorph ... 0 meV/atom
Calculated volume ... 21.96 Å³/atom

Cell lengths 3.563, 3.563, 6.920 Å; angles 90.00, 90.00, 90.00 degrees
Space group P4/mmm (No. 123)
Unique sites:
Lu (0.000, 0.000, 0.243) (multiplicity 2)
Al (0.500, 0.500, 0.500) (multiplicity 1)
V (0.500, 0.500, 0.000) (multiplicity 1)



No. 4
VASP calculation (GGA-PBE) on a relaxed LuAlV4 crystal.

DFT total energy ... -175.993 eV/cell
Calculated volume ... 16.26 Å³/atom

Cell lengths 7.308, 7.308, 7.308 Å; angles 90.00, 90.00, 90.00 degrees
Space group F-43m (No. 216)
Unique sites:
Lu (0.000, 0.000, 0.000) (multiplicity 4)
Al (0.250, 0.250, 0.750) (multiplicity 4)
V (0.128, 0.128, 0.372) (multiplicity 16)



No. 5
VASP calculation (GGA-PBE) on a relaxed Lu2AlV crystal.

E above lowest polymorph ... 530 meV/atom
Calculated volume ... 23.50 Å³/atom

Cell lengths 3.2252, 3.2252, 31.3061 Å; angles 90.00, 90.00, 120.00 degrees
Space group R-3m (No. 166, hexagonal axes)
Unique sites:
Lu (0.0000, 0.0000, 0.0907) (multiplicity 6)
Al (0.0000, 0.0000, 0.5000) (multiplicity 3)
V (0.0000, 0.0000, 0.0000) (multiplicity 3)



No. 6
VASP calculation (GGA-PBE) on a relaxed LuAl2W crystal.

DFT total energy ... -73.397 eV/cell
Calculated volume ... 18.64 Å³/atom

Cell lengths 2.9832, 2.9832, 29.0148 Å; angles 90.00, 90.00, 120.00 degrees
Space group R-3m (No. 166, hexagonal axes)
Unique sites:
Lu (0.0000, 0.0000, 0.0000) (multiplicity 3)
Al (0.0000, 0.0000, 0.2413) (multiplicity 6)
W (0.0000, 0.0000, 0.5000) (multiplicity 3)



No. 7
VASP calculation (GGA-PBE) on a relaxed LuAl4W crystal.

DFT total energy ... -133.471 eV/cell
Calculated volume ... 16.79 Å³/atom

Cell lengths 7.386, 7.386, 7.386 Å; angles 90.00, 90.00, 90.00 degrees
Space group F-43m (No. 216)
Unique sites:
Lu (0.000, 0.000, 0.000) (multiplicity 4)
Al (0.125, 0.125, 0.375) (multiplicity 16)
W (0.250, 0.250, 0.750) (multiplicity 4)



No. 8
VASP calculation (GGA-PBE) on a relaxed Lu6Al43W4 crystal.

DFT total energy ... -507.277 eV/cell
Calculated volume ... 17.30 Å³/atom

Cell lengths 10.9852, 10.9852, 17.5484 Å; angles 90.00, 90.00, 120.00 degrees
Space group P6_3/mcm (No. 193)
Unique sites:
Lu (0.0000, 0.4674, 0.0958) (multiplicity 12)
Al (0.0000, 0.1485, 0.7500) (multiplicity 6)
Al (0.0000, 0.1603, 0.1143) (multiplicity 12)
Al (0.0000, 0.2552, 0.5306) (multiplicity 12)
Al (0.1475, 0.5526, 0.2500) (multiplicity 12)
Al (0.1573, 0.3947, 0.6628) (multiplicity 24)
Al (0.2464, 0.4928, 0.0000) (multiplicity 12)
Al (0.3333, 0.6667, 0.1249) (multiplicity 8)
W (0.0000, 0.0000, 0.0000) (multiplicity 2)
W (0.0000, 0.2724, 0.2500) (multiplicity 6)



No. 9
VASP calculation (GGA-PBE) on a relaxed YLuAl2 crystal.

E above lowest polymorph ... 0 meV/atom
Calculated volume ... 22.60 Å³/atom

Cell lengths 3.574, 3.574, 7.077 Å; angles 90.00, 90.00, 90.00 degrees
Space group P4/mmm (No. 123)
Unique sites:
Y (0.000, 0.000, 0.000) (multiplicity 1)
Lu (0.000, 0.000, 0.500) (multiplicity 1)
Al (0.500, 0.500, 0.260) (multiplicity 2)



No. 10
VASP calculation (GGA-PBE) on a relaxed YLu2Al crystal.

E above lowest polymorph ... 315 meV/atom
Calculated volume ... 28.32 Å³/atom

Cell lengths 3.3986, 3.3986, 33.9724 Å; angles 90.00, 90.00, 120.00 degrees
Space group R-3m (No. 166, hexagonal axes)
Unique sites:
Y (0.0000, 0.0000, 0.0000) (multiplicity 3)
Lu (0.0000, 0.0000, 0.0996) (multiplicity 6)
Al (0.0000, 0.0000, 0.5000) (multiplicity 3)



No. 11
VASP calculation (GGA-PBE) on a relaxed YLu2Al crystal.

E above lowest polymorph ... 11 meV/atom
Calculated volume ... 25.96 Å³/atom

Cell lengths 4.687, 4.687, 4.726 Å; angles 90.00, 90.00, 90.00 degrees
Space group P4/mmm (No. 123)
Unique sites:
Y (0.000, 0.000, 0.000) (multiplicity 1)
Lu (0.000, 0.500, 0.500) (multiplicity 2)
Al (0.500, 0.500, 0.000) (multiplicity 1)



No. 12
VASP calculation (GGA-PBE) on a relaxed YLuAl2 crystal.

E above lowest polymorph ... 4 meV/atom
Calculated volume ... 22.76 Å³/atom

Cell lengths 7.141, 7.141, 7.141 Å; angles 90.00, 90.00, 90.00 degrees
Space group Fm-3m (No. 225)
Unique sites:
Y (0.000, 0.000, 0.000) (multiplicity 4)
Lu (0.000, 0.000, 0.500) (multiplicity 4)
Al (0.250, 0.250, 0.250) (multiplicity 8)



No. 13
VASP calculation (GGA-PBE) on a relaxed YLu2Al crystal.

E above lowest polymorph ... 0 meV/atom
Calculated volume ... 26.72 Å³/atom

Cell lengths 3.484, 3.484, 8.808 Å; angles 90.00, 90.00, 90.00 degrees
Space group P4/mmm (No. 123)
Unique sites:
Y (0.000, 0.000, 0.000) (multiplicity 1)
Lu (0.500, 0.500, 0.288) (multiplicity 2)
Al (0.000, 0.000, 0.500) (multiplicity 1)



No. 14
VASP calculation (GGA-PBE) on a relaxed YbLuAl4 crystal.

DFT total energy ... -94.944 eV/cell
Calculated volume ... 19.89 Å³/atom

Cell lengths 7.816, 7.816, 7.816 Å; angles 90.00, 90.00, 90.00 degrees
Space group F-43m (No. 216)
Unique sites:
Yb (0.000, 0.000, 0.000) (multiplicity 4)
Lu (0.250, 0.250, 0.250) (multiplicity 4)
Al (0.125, 0.125, 0.625) (multiplicity 16)



No. 15
VASP calculation (GGA-PBE) on a relaxed LuAlZn crystal.

DFT total energy ... -41.658 eV/cell
Calculated volume ... 21.28 Å³/atom

Cell lengths 6.344, 6.344, 6.344 Å; angles 90.00, 90.00, 90.00 degrees
Space group F-43m (No. 216)
Unique sites:
Lu (0.000, 0.000, 0.000) (multiplicity 4)
Al (0.000, 0.000, 0.500) (multiplicity 4)
Zn (0.250, 0.250, 0.250) (multiplicity 4)



No. 16
VASP calculation (GGA-PBE) on a relaxed LuAlZn crystal.

DFT total energy ... -20.451 eV/cell
Calculated volume ... 19.49 Å³/atom

Cell lengths 3.234, 3.234, 11.178 Å; angles 90.00, 90.00, 90.00 degrees
Space group I4mm (No. 107)
Unique sites:
Lu (0.000, 0.000, 0.000) (multiplicity 2)
Al (0.000, 0.000, 0.688) (multiplicity 2)
Zn (0.000, 0.000, 0.322) (multiplicity 2)



No. 17
VASP calculation (GGA-PBE) on a relaxed LuAlZn crystal.

DFT total energy ... -10.850 eV/cell
Calculated volume ... 19.58 Å³/atom

Cell lengths 4.4552, 4.4552, 3.4178 Å; angles 90.00, 90.00, 120.00 degrees
Space group P-6m2 (No. 187)
Unique sites:
Lu (0.0000, 0.0000, 0.0000) (multiplicity 1)
Al (0.6667, 0.3333, 0.5000) (multiplicity 1)
Zn (0.3333, 0.6667, 0.5000) (multiplicity 1)



No. 18
VASP calculation (GGA-PBE) on a relaxed LuZrAlZn crystal.

DFT total energy ... -77.358 eV/cell
Calculated volume ... 20.16 Å³/atom

Cell lengths 6.858, 6.858, 6.858 Å; angles 90.00, 90.00, 90.00 degrees
Space group F-43m (No. 216)
Unique sites:
Lu (0.000, 0.000, 0.000) (multiplicity 4)
Zr (0.000, 0.000, 0.500) (multiplicity 4)
Al (0.250, 0.250, 0.250) (multiplicity 4)
Zn (0.250, 0.250, 0.750) (multiplicity 4)



No. 19
VASP calculation (GGA-PBE) on a relaxed LuZrAl crystal.

E above lowest polymorph ... 270 meV/atom
Calculated volume ... 21.64 Å³/atom

Cell lengths 5.0027, 5.0027, 2.9948 Å; angles 90.00, 90.00, 120.00 degrees
Space group P-6m2 (No. 187)
Unique sites:
Lu (0.0000, 0.0000, 0.0000) (multiplicity 1)
Zr (0.6667, 0.3333, 0.0000) (multiplicity 1)
Al (0.3333, 0.6667, 0.5000) (multiplicity 1)



No. 20
VASP calculation (GGA-PBE) on a relaxed LuZrAl crystal.

E above lowest polymorph ... 0 meV/atom
Calculated volume ... 22.58 Å³/atom

Cell lengths 3.266, 3.266, 12.707 Å; angles 90.00, 90.00, 90.00 degrees
Space group I4mm (No. 107)
Unique sites:
Lu (0.000, 0.000, 0.000) (multiplicity 2)
Zr (0.000, 0.000, 0.315) (multiplicity 2)
Al (0.000, 0.000, 0.665) (multiplicity 2)